# PmDyErTh, relaxed, DFT PBE
# energy relative to the elements: 190 meV/atom
# distance to the lowest polymorph of the same formula: 0.71 eV/f.u.
# DOS(E_F): 37.0 states/eV/cell
data_PmDyErTh
_chemical_formula_sum 'Pm4 Dy4 Er4 Th4'
_cell_length_a 8.041
_cell_length_b 8.041
_cell_length_c 8.041
_cell_angle_alpha 90.00
_cell_angle_beta 90.00
_cell_angle_gamma 90.00
_symmetry_space_group_name_H-M 'F -4 3 m'
_symmetry_Int_Tables_number 216
_symmetry_space_group_name_Hall 'F -4 2 3'
loop_
_atom_site_label
_atom_site_type_symbol
_atom_site_fract_x
_atom_site_fract_y
_atom_site_fract_z
Pm1 Pm 0.000 0.000 0.000
Dy1 Dy 0.000 0.000 0.500
Er1 Er 0.250 0.250 0.750
Th1 Th 0.250 0.250 0.250